Version P
The following is a DFT calculation (PBE+U) of Li5Mn6B6O18 after structural relaxation.

Computed properties:
symmetry = Cm, No. 8
total magnetic moment = 58.000 Bohr magnetons per cell

Unit cell a=8.8213 b=8.8213 c=14.3696 alpha=90.58 beta=90.58 gamma=42.33
Atoms (fractional coordinates):
Li 0.0000 0.0000 0.0000
Li 0.0231 0.0231 0.3711
Li 0.2493 0.2493 0.5007
Li 0.2747 0.2747 0.8697
Li 0.4854 0.4854 0.7104
Li 0.5001 0.5001 0.0010
Li 0.5253 0.5253 0.3679
Li 0.7350 0.7350 0.2094
Li 0.7507 0.7507 0.5002
Li 0.7742 0.7742 0.8688
Mn 0.0777 0.5819 0.6789
Mn 0.0836 0.5801 0.0494
Mn 0.1026 0.5939 0.3483
Mn 0.3272 0.8318 0.1790
Mn 0.3293 0.8340 0.5494
Mn 0.3452 0.8515 0.8484
Mn 0.5801 0.0836 0.0494
Mn 0.5819 0.0777 0.6789
Mn 0.5939 0.1026 0.3483
Mn 0.8318 0.3272 0.1790
Mn 0.8340 0.3293 0.5494
Mn 0.8515 0.3452 0.8484
B 0.1701 0.1701 0.0217
B 0.1732 0.6640 0.8629
B 0.1744 0.1744 0.6929
B 0.4201 0.4201 0.5245
B 0.4233 0.9136 0.3628
B 0.4246 0.4246 0.1931
B 0.6640 0.1732 0.8629
B 0.6695 0.6695 0.0230
B 0.6716 0.6716 0.6918
B 0.9136 0.4233 0.3628
B 0.9192 0.9192 0.5197
B 0.9213 0.9213 0.1915
O 0.0895 0.5947 0.9042
O 0.1034 0.1034 0.0800
O 0.1068 0.1068 0.7484
O 0.1586 0.1586 0.9259
O 0.1640 0.1640 0.5959
O 0.1950 0.6571 0.7681
O 0.2394 0.7374 0.9195
O 0.2489 0.2489 0.0559
O 0.2523 0.2523 0.7319
O 0.3417 0.8421 0.4040
O 0.3511 0.3511 0.5788
O 0.3574 0.3574 0.2494
O 0.4140 0.4140 0.0962
O 0.4142 0.4142 0.4284
O 0.4448 0.9069 0.2680
O 0.4875 0.9888 0.4194
O 0.4962 0.4962 0.5686
O 0.5027 0.5027 0.2315
O 0.5947 0.0895 0.9042
O 0.6012 0.6012 0.0785
O 0.6022 0.6022 0.7466
O 0.6571 0.1950 0.7681
O 0.6623 0.6623 0.5949
O 0.6625 0.6625 0.9268
O 0.7374 0.2394 0.9195
O 0.7459 0.7459 0.0664
O 0.7486 0.7486 0.7319
O 0.8421 0.3417 0.4040
O 0.8514 0.8514 0.2451
O 0.8533 0.8533 0.5793
O 0.9062 0.9062 0.4239
O 0.9069 0.4448 0.2680
O 0.9126 0.9126 0.0944
O 0.9888 0.4875 0.4194
O 0.9981 0.9981 0.2323
O 0.9984 0.9984 0.5525



Version Q
The following is a DFT calculation (PBE+U) of Li5Mn6B6O18 after structural relaxation.

Computed properties:
symmetry = P1, No. 1
total magnetic moment = 29.000 Bohr magnetons per cell

Unit cell a=5.1898 b=7.9870 c=9.7003 alpha=75.72 beta=76.43 gamma=88.06
Atoms (fractional coordinates):
Li 0.0000 0.0000 0.0000
Li 0.1498 0.6737 0.0503
Li 0.3478 0.3126 0.3441
Li 0.6734 0.6581 0.6721
Li 0.8249 0.3377 0.7118
Mn 0.2317 0.5900 0.5212
Mn 0.2623 0.4206 0.8637
Mn 0.5656 0.9215 0.8514
Mn 0.5817 0.7547 0.2023
Mn 0.8995 0.2532 0.1863
Mn 0.9288 0.0767 0.5247
B 0.0505 0.8830 0.2835
B 0.1149 0.7991 0.7528
B 0.3725 0.2043 0.6348
B 0.4556 0.1430 0.0811
B 0.7031 0.5294 0.9738
B 0.7835 0.4671 0.4164
O 0.1619 0.8688 0.8618
O 0.2083 0.3239 0.6947
O 0.2130 0.1807 0.0386
O 0.2524 0.8185 0.3488
O 0.2862 0.6776 0.7023
O 0.3092 0.1374 0.5307
O 0.5243 0.2316 0.1721
O 0.5406 0.6535 0.0238
O 0.5503 0.5095 0.3686
O 0.6104 0.1599 0.6805
O 0.6125 0.0181 0.0286
O 0.6658 0.4645 0.8607
O 0.8338 0.5298 0.5284
O 0.8852 0.8390 0.6999
O 0.9181 0.0282 0.3229
O 0.9329 0.4800 0.0315
O 0.9585 0.3549 0.3532
O 0.9812 0.8122 0.1810



Of them, the most stable is version Q and the least stable is version P.